Entry 1:
The following is a PBE calculation of a geometry-optimized PdSe2IN structure, from the Alexandria database.

Properties
- E_tot (eV/atom) = -3.5740
- formation energy from raw total energies (eV/atom) = 0.8335
- DOS at the Fermi energy (states/eV/f.u.) = 3.3
- energy above the lowest structure with this stoichiometry (kJ/mol of formula units) = 0

abc: 5.2954 5.2954 3.7657
angles: 90.00 90.00 90.00
Closest atoms and distances in Å follow each position.
Space group P4/mmm (No. 123)
One atom of each set of equivalent atoms:
1 Pd 0.0000 0.0000 0.0000  2 N 1.88
2 Se 0.0000 0.5000 0.0000  2 Pd 2.65
3 I 0.5000 0.5000 0.5000  8 Se 3.25
4 N 0.0000 0.0000 0.5000  2 Pd 1.88

Entry 2:
The following is a PBE calculation of a geometry-optimized SnPdIN2 structure, from the Alexandria database.

Properties
- E_tot (eV/atom) = -4.1814
- formation energy from raw total energies (eV/atom) = 1.2979
- DOS at the Fermi energy (states/eV/f.u.) = 3.2
- energy above the lowest structure with this stoichiometry (kJ/mol of formula units) = 0

abc: 4.0551 4.0551 6.9023
angles: 90.00 90.00 90.00
Closest atoms and distances in Å follow each position.
Space group P4/mmm (No. 123)
One atom of each set of equivalent atoms:
1 Sn 0.0000 0.0000 0.0000  4 N 2.03
2 Pd 0.5000 0.5000 0.5000  4 I 2.87
3 I 0.0000 0.0000 0.5000  4 Pd 2.87
4 N 0.0000 0.5000 0.0000  2 Sn 2.03